This record from Alexandria describes a relaxed PuHg2O7 crystal. The functional is GGA-PBE.

Values from the calculation:
* raw total energy: -5.7649 eV/atom
* density: 6.9 Mg/m³

Geometry as CIF:
```
data_PuHg2O7
_chemical_formula_sum 'Pu2 Hg4 O14'
_symmetry_space_group_name_H-M 'P 1'
_symmetry_Int_Tables_number 1
_cell_length_a 7.7409
_cell_length_b 6.4487
_cell_length_c 9.9150
_cell_angle_alpha 78.89
_cell_angle_beta 67.05
_cell_angle_gamma 53.07
loop_
_symmetry_equiv_pos_as_xyz
'x,y,z'
loop_
_atom_site_label
_atom_site_fract_x
_atom_site_fract_y
_atom_site_fract_z
Pu1 0.8817 0.2501 0.7500
Pu2 0.1183 0.7499 0.2500
Hg1 0.6270 0.0340 0.5917
Hg2 0.7480 0.5331 0.0916
Hg3 0.2520 0.4669 0.9084
Hg4 0.3730 0.9660 0.4083
O1 0.7105 0.6050 0.7623
O2 0.9225 0.1049 0.2623
O3 0.2524 0.7560 0.0479
O4 0.2758 0.1859 0.5857
O5 0.5735 0.2506 0.7500
O6 0.9430 0.2563 0.5479
O7 0.0485 0.3135 0.9142
O8 0.9515 0.6865 0.0858
O9 0.0570 0.7437 0.4521
O10 0.4265 0.7494 0.2500
O11 0.7242 0.8141 0.4143
O12 0.7476 0.2440 0.9521
O13 0.0775 0.8951 0.7377
O14 0.2895 0.3950 0.2377
```

---

This record from Alexandria describes a relaxed SbPbAu crystal. The functional is GGA-PBE.

Values from the calculation:
* raw total energy: -3.7882 eV/atom
* density: 10.3 Mg/m³

Geometry as CIF:
```
data_SbPbAu
_chemical_formula_sum 'Sb2 Pb2 Au2'
_symmetry_space_group_name_H-M 'P 1'
_symmetry_Int_Tables_number 1
_cell_length_a 4.6480
_cell_length_b 4.6480
_cell_length_c 9.0206
_cell_angle_alpha 90.00
_cell_angle_beta 90.00
_cell_angle_gamma 120.00
loop_
_symmetry_equiv_pos_as_xyz
'x,y,z'
loop_
_atom_site_label
_atom_site_fract_x
_atom_site_fract_y
_atom_site_fract_z
Sb1 0.3333 0.6667 0.3570
Sb2 0.6667 0.3333 0.8570
Pb1 0.0000 0.0000 0.1105
Pb2 0.0000 0.0000 0.6105
Au1 0.3333 0.6667 0.7818
Au2 0.6667 0.3333 0.2818
```

---

This record from Alexandria describes a relaxed LaPr4Ho2Th crystal. The functional is GGA-PBE.

Values from the calculation:
* raw total energy: -5.0334 eV/atom
* density: 7.6 Mg/m³

Geometry as CIF:
```
data_LaPr4Ho2Th
_chemical_formula_sum 'La1 Pr4 Ho2 Th1'
_symmetry_space_group_name_H-M 'P 1'
_symmetry_Int_Tables_number 1
_cell_length_a 5.1527
_cell_length_b 5.1396
_cell_length_c 11.6329
_cell_angle_alpha 63.71
_cell_angle_beta 90.00
_cell_angle_gamma 90.00
loop_
_symmetry_equiv_pos_as_xyz
'x,y,z'
loop_
_atom_site_label
_atom_site_fract_x
_atom_site_fract_y
_atom_site_fract_z
La1 0.5000 0.5000 0.0000
Pr1 0.0000 0.7552 0.7446
Pr2 0.0000 0.2448 0.2554
Pr3 0.5000 0.7436 0.2562
Pr4 0.5000 0.2564 0.7438
Ho1 0.0000 0.0000 0.0000
Ho2 0.5000 0.0000 0.5000
Th1 0.0000 0.5000 0.5000
```

---

This record from Alexandria describes a relaxed TmTh2Be crystal. The functional is GGA-PBE.

Values from the calculation:
* raw total energy: -5.6034 eV/atom
* density: 10.0 Mg/m³

Geometry as CIF:
```
data_TmTh2Be
_chemical_formula_sum 'Tm1 Th2 Be1'
_symmetry_space_group_name_H-M 'P 1'
_symmetry_Int_Tables_number 1
_cell_length_a 3.4931
_cell_length_b 3.4931
_cell_length_c 8.7221
_cell_angle_alpha 90.00
_cell_angle_beta 90.00
_cell_angle_gamma 90.00
loop_
_symmetry_equiv_pos_as_xyz
'x,y,z'
loop_
_atom_site_label
_atom_site_fract_x
_atom_site_fract_y
_atom_site_fract_z
Be1 0.5000 0.5000 0.0000
Tm1 0.5000 0.5000 0.5000
Th1 0.0000 0.0000 0.8039
Th2 0.0000 0.0000 0.1961
```

---

This record from Alexandria describes a relaxed MgTlIn2 crystal. The functional is GGA-PBE.

Values from the calculation:
* raw total energy: -2.3707 eV/atom
* density: 7.1 Mg/m³

Geometry as CIF:
```
data_MgTlIn2
_chemical_formula_sum 'Mg1 Tl1 In2'
_symmetry_space_group_name_H-M 'P 1'
_symmetry_Int_Tables_number 1
_cell_length_a 3.7387
_cell_length_b 3.7387
_cell_length_c 7.6174
_cell_angle_alpha 90.00
_cell_angle_beta 90.00
_cell_angle_gamma 90.00
loop_
_symmetry_equiv_pos_as_xyz
'x,y,z'
loop_
_atom_site_label
_atom_site_fract_x
_atom_site_fract_y
_atom_site_fract_z
Tl1 0.5000 0.5000 0.5000
Mg1 0.5000 0.5000 0.0000
In1 0.0000 0.0000 0.7720
In2 0.0000 0.0000 0.2280
```

---

This record from Alexandria describes a relaxed SmZnCuNi2 crystal. The functional is GGA-PBE.

Values from the calculation:
* raw total energy: -4.5729 eV/atom
* density: 8.2 Mg/m³

Geometry as CIF:
```
data_SmZnCuNi2
_chemical_formula_sum 'Sm1 Zn1 Cu1 Ni2'
_symmetry_space_group_name_H-M 'P 1'
_symmetry_Int_Tables_number 1
_cell_length_a 3.8706
_cell_length_b 3.8164
_cell_length_c 6.0936
_cell_angle_alpha 108.25
_cell_angle_beta 108.52
_cell_angle_gamma 90.00
loop_
_symmetry_equiv_pos_as_xyz
'x,y,z'
loop_
_atom_site_label
_atom_site_fract_x
_atom_site_fract_y
_atom_site_fract_z
Sm1 0.4514 0.4514 0.9028
Zn1 0.1922 0.6922 0.3843
Cu1 0.8312 0.8312 0.6625
Ni1 0.6856 0.1856 0.3711
Ni2 0.0518 0.0518 0.1036
```

---

This record from Alexandria describes a relaxed Pa2Sb3Au crystal. The functional is GGA-PBE.

Values from the calculation:
* raw total energy: -5.9115 eV/atom
* density: 10.0 Mg/m³

Geometry as CIF:
```
data_Pa2Sb3Au
_chemical_formula_sum 'Pa2 Sb3 Au1'
_symmetry_space_group_name_H-M 'P 1'
_symmetry_Int_Tables_number 1
_cell_length_a 4.4447
_cell_length_b 6.1395
_cell_length_c 7.2912
_cell_angle_alpha 114.90
_cell_angle_beta 107.75
_cell_angle_gamma 90.00
loop_
_symmetry_equiv_pos_as_xyz
'x,y,z'
loop_
_atom_site_label
_atom_site_fract_x
_atom_site_fract_y
_atom_site_fract_z
Pa1 0.6710 0.1710 0.3420
Pa2 0.3290 0.8290 0.6580
Sb1 0.3447 0.3447 0.6894
Sb2 0.0000 0.0000 0.0000
Sb3 0.6553 0.6553 0.3106
Au1 0.0000 0.5000 0.0000
```

---

This record from Alexandria describes a relaxed CaMgCo2 crystal. The functional is GGA-PBE.

Values from the calculation:
* raw total energy: -4.0252 eV/atom
* density: 4.4 Mg/m³

Geometry as CIF:
```
data_CaMgCo2
_chemical_formula_sum 'Ca1 Mg1 Co2'
_symmetry_space_group_name_H-M 'P 1'
_symmetry_Int_Tables_number 1
_cell_length_a 4.5981
_cell_length_b 4.5981
_cell_length_c 4.5981
_cell_angle_alpha 120.63
_cell_angle_beta 120.63
_cell_angle_gamma 88.91
loop_
_symmetry_equiv_pos_as_xyz
'x,y,z'
loop_
_atom_site_label
_atom_site_fract_x
_atom_site_fract_y
_atom_site_fract_z
Ca1 0.7500 0.2500 0.5000
Co1 0.0000 0.0000 0.0000
Co2 0.2500 0.7500 0.5000
Mg1 0.5000 0.5000 0.0000
```